*P*
A plane-wave DFT calculation with GGA-PBE was carried out for a relaxed CoH2CS crystal.

Unit cell a=3.3181 b=3.9447 c=5.2102 alpha=90.00 beta=100.21 gamma=90.00
With the nearest neighbours (Å) after each atom.
Positions (direct):
C1 0.5979 0.0000 0.0063  1 H 1.12
H1 0.5333 0.0000 0.7883  1 C 1.12
H2 0.8487 0.5000 0.4269  1 S 1.38
Co1 0.1313 0.0000 0.1379  2 C 1.78-1.80
S1 0.1976 0.5000 0.3184  1 H 1.38

***

*Q*
A plane-wave DFT calculation with GGA-PBE was carried out for a relaxed CoH2CS crystal.

Unit cell a=3.5196 b=4.4281 c=5.5079 alpha=68.24 beta=71.38 gamma=66.42
With the nearest neighbours (Å) after each atom.
Positions (direct):
C1 0.4939 0.6710 0.4228  1 H 1.12
H1 0.8073 0.8074 0.6581  1 Co 1.49
H2 0.6143 0.3831 0.4705  1 C 1.12
S1 0.4975 0.9804 0.1039  1 C 1.78
Co1 0.9500 0.8086 0.3720  1 H 1.49

***

Winner for stability: *P*

***

*P*
A plane-wave DFT calculation with GGA-PBE was carried out for a relaxed Hf3CoC crystal.

Unit cell a=4.5165 b=5.6239 c=7.6994 alpha=67.20 beta=72.94 gamma=66.32
With the nearest neighbours (Å) after each atom.
Positions (direct):
Hf1 0.3665 0.3481 0.9190  3 C 2.26-2.28
Hf2 0.1514 0.3364 0.3609  1 C 2.28
Hf3 0.1065 0.0003 0.7867  2 C 2.24-2.26
Hf4 0.8486 0.6636 0.6391  1 C 2.28
Hf5 0.8935 0.9997 0.2133  2 C 2.24-2.26
Hf6 0.6335 0.6519 0.0810  3 C 2.26-2.28
C1 0.8719 0.3294 0.9268  6 Hf 2.24-2.28
C2 0.1281 0.6706 0.0732  6 Hf 2.24-2.28
Co1 0.6273 0.1872 0.5581  5 Hf 2.58-2.80
Co2 0.3727 0.8128 0.4419  5 Hf 2.58-2.80

***

*Q*
A plane-wave DFT calculation with GGA-PBE was carried out for a relaxed Hf3CoC crystal.

Unit cell a=4.6841 b=4.6841 c=4.6841 alpha=90.00 beta=90.00 gamma=90.00
With the nearest neighbours (Å) after each atom.
Positions (direct):
Co1 0.0000 0.0000 0.0000  6 Hf 2.34
C1 0.5000 0.5000 0.5000  12 Hf 3.31
Hf1 0.5000 0.0000 0.0000  2 Co 2.34
Hf2 0.0000 0.0000 0.5000  2 Co 2.34
Hf3 0.0000 0.5000 0.0000  2 Co 2.34

***

Winner for stability: *P*

***

*P*
A plane-wave DFT calculation with GGA-PBE was carried out for a relaxed HfCoC3 crystal.

Unit cell a=4.1982 b=4.1982 c=4.1982 alpha=90.00 beta=90.00 gamma=90.00
With the nearest neighbours (Å) after each atom.
Positions (direct):
Hf1 0.0000 0.0000 0.0000  6 C 2.10
C1 0.5000 0.0000 0.0000  2 Hf 2.10
C2 0.0000 0.5000 0.0000  2 Hf 2.10
C3 0.0000 0.0000 0.5000  2 Hf 2.10
Co1 0.5000 0.5000 0.5000  12 C 2.97

***

*Q*
A plane-wave DFT calculation with GGA-PBE was carried out for a relaxed HfCoC3 crystal.

Unit cell a=3.7242 b=3.7242 c=3.7242 alpha=90.00 beta=90.00 gamma=90.00
With the nearest neighbours (Å) after each atom.
Positions (direct):
C1 0.0000 0.5000 0.0000  2 Co 1.86
C2 0.5000 0.0000 0.0000  2 Co 1.86
C3 0.0000 0.0000 0.5000  2 Co 1.86
Co1 0.0000 0.0000 0.0000  6 C 1.86
Hf1 0.5000 0.5000 0.5000  12 C 2.63

***

Winner for stability: *Q*

***

*P*
A plane-wave DFT calculation with GGA-PBE was carried out for a relaxed HfCo2PtC crystal.

Unit cell a=3.8106 b=3.8106 c=4.4310 alpha=90.00 beta=90.00 gamma=90.00
With the nearest neighbours (Å) after each atom.
Positions (direct):
Co1 0.5000 0.0000 0.0000  2 C 1.91
Co2 0.0000 0.5000 0.0000  2 C 1.91
C1 0.0000 0.0000 0.0000  4 Co 1.91
Hf1 0.0000 0.0000 0.5000  2 C 2.22
Pt1 0.5000 0.5000 0.5000  4 Hf 2.69, 8 Co 2.92

***

*Q*
A plane-wave DFT calculation with GGA-PBE was carried out for a relaxed HfCo2PtC crystal.

Unit cell a=4.5344 b=4.1237 c=4.5344 alpha=90.00 beta=90.00 gamma=90.00
With the nearest neighbours (Å) after each atom.
Positions (direct):
Hf1 0.0000 0.0000 0.0000  2 C 2.06, 4 Co 2.27
Pt1 0.5000 0.5000 0.5000  8 Co 3.06, 4 C 3.21
C1 0.0000 0.5000 0.0000  2 Hf 2.06
Co1 0.5000 0.0000 0.0000  2 Hf 2.27
Co2 0.0000 0.0000 0.5000  2 Hf 2.27

***

Winner for stability: *P*

***

*P*
A plane-wave DFT calculation with GGA-PBE was carried out for a relaxed CoHgC3 crystal.

Unit cell a=3.8647 b=3.8647 c=3.8647 alpha=90.00 beta=90.00 gamma=90.00
With the nearest neighbours (Å) after each atom.
Positions (direct):
C1 0.5000 0.0000 0.0000  2 Co 1.93
C2 0.0000 0.0000 0.5000  2 Co 1.93
C3 0.0000 0.5000 0.0000  2 Co 1.93
Co1 0.0000 0.0000 0.0000  6 C 1.93
Hg1 0.5000 0.5000 0.5000  12 C 2.73

***

*Q*
A plane-wave DFT calculation with GGA-PBE was carried out for a relaxed CoHgC3 crystal.

Unit cell a=4.2103 b=4.2103 c=4.2103 alpha=90.00 beta=90.00 gamma=90.00
With the nearest neighbours (Å) after each atom.
Positions (direct):
Co1 0.5000 0.5000 0.5000  12 C 2.98
C1 0.0000 0.0000 0.5000  2 Hg 2.11
C2 0.0000 0.5000 0.0000  2 Hg 2.11
C3 0.5000 0.0000 0.0000  2 Hg 2.11
Hg1 0.0000 0.0000 0.0000  6 C 2.11

***

Winner for stability: *P*

***

*P*
A plane-wave DFT calculation with GGA-PBE was carried out for a relaxed Co3HgC crystal.

Unit cell a=4.7608 b=4.7608 c=4.7608 alpha=90.00 beta=90.00 gamma=90.00
With the nearest neighbours (Å) after each atom.
Positions (direct):
C1 0.5000 0.5000 0.5000  12 Co 3.37
Co1 0.0000 0.0000 0.5000  2 Hg 2.38
Co2 0.0000 0.5000 0.0000  2 Hg 2.38
Co3 0.5000 0.0000 0.0000  2 Hg 2.38
Hg1 0.0000 0.0000 0.0000  6 Co 2.38

***

*Q*
A plane-wave DFT calculation with GGA-PBE was carried out for a relaxed Co3HgC crystal.

Unit cell a=3.8569 b=3.8569 c=3.8569 alpha=90.00 beta=90.00 gamma=90.00
With the nearest neighbours (Å) after each atom.
Positions (direct):
Hg1 0.5000 0.5000 0.5000  12 Co 2.73
Co1 0.0000 0.5000 0.0000  2 C 1.93
Co2 0.5000 0.0000 0.0000  2 C 1.93
Co3 0.0000 0.0000 0.5000  2 C 1.93
C1 0.0000 0.0000 0.0000  6 Co 1.93

***

Winner for stability: *Q*